Zn2CdGeSe: relaxed, GGA-PBE.

Lattice parameters (Å, degrees): 4.7310 5.2763 4.7310 90.00 90.00 90.00
Sites, in units of the cell vectors:
Ge: 0.0000 0.0000 0.0000
Zn: 0.0000 0.0000 0.5000
Zn: 0.5000 0.0000 0.0000
Se: 0.5000 0.5000 0.5000
Cd: 0.0000 0.5000 0.0000

## Properties
Symmetry ... No. 123
Formation energy from raw total energies ... 210 meV per atom
Relative energy among the computed polymorphs ... 0 kJ/mol of formula units

=====

Zn2CdGeSe: relaxed, GGA-PBE.

Lattice parameters (Å, degrees): 4.9203 5.3485 4.9203 90.00 90.00 90.00
Sites, in units of the cell vectors:
Ge: 0.0000 0.5000 0.0000
Zn: 0.0000 0.0000 0.5000
Zn: 0.5000 0.0000 0.0000
Se: 0.5000 0.5000 0.5000
Cd: 0.0000 0.0000 0.0000

## Properties
Symmetry ... No. 123
Formation energy from raw total energies ... 551 meV per atom
Relative energy among the computed polymorphs ... 165 kJ/mol of formula units

=====

CdSiGe2: relaxed, GGA-PBE.

Lattice parameters (Å, degrees): 4.7961 4.7961 4.7961 60.00 60.00 60.00
Sites, in units of the cell vectors:
Ge: 0.2500 0.2500 0.2500
Ge: 0.7500 0.7500 0.7500
Si: 0.0000 0.0000 0.0000
Cd: 0.5000 0.5000 0.5000

## Properties
Symmetry ... No. 225
Formation energy from raw total energies ... 436 meV per atom
Relative energy among the computed polymorphs ... 60 kJ/mol of formula units

=====

CdSi3Ge: relaxed, GGA-PBE.

Lattice parameters (Å, degrees): 4.8004 4.8004 4.8004 90.00 90.00 90.00
Sites, in units of the cell vectors:
Ge: 0.0000 0.0000 0.0000
Si: 0.0000 0.5000 0.0000
Si: 0.0000 0.0000 0.5000
Si: 0.5000 0.0000 0.0000
Cd: 0.5000 0.5000 0.5000

## Properties
Symmetry ... No. 221
Formation energy from raw total energies ... 958 meV per atom
Relative energy among the computed polymorphs ... 0 kJ/mol of formula units

=====

Cd3SiGe: relaxed, GGA-PBE.

Lattice parameters (Å, degrees): 5.0987 5.0987 5.0987 90.00 90.00 90.00
Sites, in units of the cell vectors:
Ge: 0.5000 0.5000 0.5000
Si: 0.0000 0.0000 0.0000
Cd: 0.0000 0.5000 0.0000
Cd: 0.0000 0.0000 0.5000
Cd: 0.5000 0.0000 0.0000

## Properties
Symmetry ... No. 221
Formation energy from raw total energies ... 609 meV per atom
Relative energy among the computed polymorphs ... 0 kJ/mol of formula units

=====

CdSiGe3: relaxed, GGA-PBE.

Lattice parameters (Å, degrees): 5.1148 5.1148 5.1148 90.00 90.00 90.00
Sites, in units of the cell vectors:
Ge: 0.0000 0.5000 0.0000
Ge: 0.0000 0.0000 0.5000
Ge: 0.5000 0.0000 0.0000
Si: 0.5000 0.5000 0.5000
Cd: 0.0000 0.0000 0.0000

## Properties
Symmetry ... No. 221
Formation energy from raw total energies ... 1157 meV per atom
Relative energy among the computed polymorphs ... 280 kJ/mol of formula units